# 1
A plane-wave DFT calculation with GGA-PBE was carried out for an optimized crystal structure of Pr12RuRh6.

Cell lengths 8.417, 8.417, 8.417 Å; angles 99.24, 99.24, 99.24 degrees
Element x y z (fractional)
Pr 0.585 0.417 0.823
Pr 0.918 0.044 0.678
Pr 0.044 0.678 0.918
Pr 0.678 0.918 0.044
Pr 0.415 0.583 0.177
Pr 0.417 0.823 0.585
Pr 0.956 0.322 0.082
Pr 0.082 0.956 0.322
Pr 0.583 0.177 0.415
Pr 0.823 0.585 0.417
Pr 0.177 0.415 0.583
Pr 0.322 0.082 0.956
Ru 0.000 0.000 0.000
Rh 0.618 0.313 0.134
Rh 0.382 0.687 0.866
Rh 0.134 0.618 0.313
Rh 0.866 0.382 0.687
Rh 0.687 0.866 0.382
Rh 0.313 0.134 0.618

DFT formation energy ... -0.444 eV per atom



# 2
A plane-wave DFT calculation with GGA-PBE was carried out for an optimized crystal structure of Pr6Ru2Rh.

Cell lengths 6.872, 7.550, 10.081 Å; angles 90.00, 89.81, 90.00 degrees
Element x y z (fractional)
Rh 0.000 0.000 0.500
Rh 0.500 0.500 0.000
Pr 0.163 0.060 0.756
Pr 0.840 0.673 0.924
Pr 0.337 0.560 0.744
Pr 0.660 0.173 0.576
Pr 0.663 0.440 0.256
Pr 0.824 0.673 0.570
Pr 0.176 0.327 0.430
Pr 0.160 0.327 0.076
Pr 0.676 0.173 0.930
Pr 0.340 0.827 0.424
Pr 0.837 0.940 0.244
Pr 0.324 0.827 0.070
Ru 0.536 0.892 0.762
Ru 0.464 0.108 0.238
Ru 0.036 0.608 0.262
Ru 0.964 0.392 0.738

DFT formation energy ... -0.235 eV per atom
Offset from the most stable computed form ... 0.000 eV/atom



# 3
A plane-wave DFT calculation with GGA-PBE was carried out for an optimized crystal structure of Pr3RuRh.

Cell lengths 4.190, 7.796, 8.420 Å; angles 106.71, 90.00, 90.00 degrees
Element x y z (fractional)
Pr 0.250 0.902 0.751
Pr 0.750 0.098 0.249
Pr 0.750 0.315 0.941
Pr 0.250 0.364 0.603
Pr 0.250 0.685 0.059
Pr 0.750 0.636 0.397
Rh 0.750 0.073 0.608
Rh 0.250 0.927 0.392
Ru 0.250 0.375 0.211
Ru 0.750 0.625 0.789

DFT formation energy ... -0.310 eV per atom
Offset from the most stable computed form ... 0.000 eV/atom



# 4
A plane-wave DFT calculation with GGA-PBE was carried out for an optimized crystal structure of Pr2RuRh.

Cell lengths 3.560, 3.560, 7.083 Å; angles 90.00, 90.00, 90.00 degrees
Element x y z (fractional)
Pr 0.000 0.000 0.247
Pr 0.000 0.000 0.753
Rh 0.500 0.500 0.500
Ru 0.500 0.500 0.000

DFT formation energy ... -0.325 eV per atom



# 5
A plane-wave DFT calculation with GGA-PBE was carried out for an optimized crystal structure of Pr2Sb4RuRh3.

Cell lengths 4.512, 4.512, 10.676 Å; angles 90.00, 90.00, 90.00 degrees
Element x y z (fractional)
Rh 0.000 0.000 0.500
Rh 0.500 0.000 0.874
Rh 0.000 0.500 0.126
Ru 0.500 0.500 0.500
Sb 0.500 0.500 0.000
Sb 0.000 0.500 0.368
Sb 0.000 0.000 0.000
Sb 0.500 0.000 0.632
Pr 0.500 0.000 0.254
Pr 0.000 0.500 0.746

Formation energy without anion corrections ... -0.747 eV per atom



# 6
A plane-wave DFT calculation with GGA-PBE was carried out for an optimized crystal structure of PrSmRuRh.

Cell lengths 4.980, 4.980, 4.980 Å; angles 60.00, 60.00, 60.00 degrees
Element x y z (fractional)
Pr 0.500 0.500 0.500
Ru 0.750 0.750 0.750
Rh 0.250 0.250 0.250
Sm 0.000 0.000 0.000

DFT formation energy ... -0.369 eV per atom



| no. | DOS(E_F) (states/eV/cell) |
| --- | --- |
| 1 | 8.19 |
| 2 | 11.41 |
| 3 | 7.17 |
| 4 | 1.59 |
| 5 | 4.94 |
| 6 | 3.15 |